[1]
Density functional theory data (GGA-PBE) for CoCu2P after structural relaxation.

Cell lengths 4.021, 4.021, 4.021 Å; angles 60.00, 60.00, 60.00 degrees
Fractional positions:
Co1 0.500 0.500 0.500
Cu1 0.000 0.000 0.000
Cu2 0.750 0.750 0.750
P1 0.250 0.250 0.250

[2]
Density functional theory data (GGA-PBE) for Co2CuP after structural relaxation.

Cell lengths 6.354, 6.354, 5.089 Å; angles 51.37, 51.37, 90.00 degrees
Fractional positions:
Cu1 0.000 0.000 0.000
Co1 0.177 0.625 0.250
Co2 0.375 0.427 0.750
Co3 0.875 0.823 0.750
Co4 0.573 0.125 0.250
P1 0.500 0.500 0.000
P2 0.250 0.750 0.500
Cu2 0.750 0.250 0.500

Energy across the listed records, respectively: -5.113, -5.876 eV/atom.
Size of the total moment across the listed records, respectively: 0.187, 0.000 μB per atom.